TlV2I3O13 | GGA+U | optimized geometry

a b c (Å): 14.0270 10.5486 8.1398
angles (deg): 90.00 90.00 90.00
Space group Ima2 (No. 46)
Asymmetric unit:
Tl  0.2500  0.1053  0.0000
V  0.1287  0.0169  0.4608
I  0.0091  0.2453  0.2312
I  0.2500  0.7227  0.2076
O  0.0000  0.0000  0.5044
O  0.0288  0.1647  0.9176
O  0.0988  0.6521  0.7853
O  0.1017  0.1157  0.2602
O  0.1488  0.6224  0.1264
O  0.1514  0.1361  0.5868
O  0.2500  0.5150  0.8787
O  0.2500  0.6576  0.4140

The density of states at the Fermi level comes out at 0.0 states/eV/cell. The calculation puts the volume at 15.85 Å³/atom. As for the energy: -5.45 eV/atom.